No. 1
# TiSb3S (PBE-GGA, optimized geometry)
# Crystal system: cubic
# Fermi-level density of states, states/eV per cell: 6.43
# Energy above the lowest structure with this stoichiometry, meV per atom: 301.8
# SG: Pm-3m (221)
data_TiSb3S
_cell_length_a 5.1156
_cell_length_b 5.1156
_cell_length_c 5.1156
_cell_angle_alpha 90.00
_cell_angle_beta 90.00
_cell_angle_gamma 90.00
_space_group_name_H-M_alt 'P 1'
_space_group_IT_number 1
_space_group_name_Hall 'P 1'
loop_
_atom_site_label
_atom_site_type_symbol
_atom_site_fract_x
_atom_site_fract_y
_atom_site_fract_z
Sb1 Sb 0.0000 0.0000 0.5000
Sb2 Sb 0.5000 0.0000 0.0000
Sb3 Sb 0.0000 0.5000 0.0000
S1 S 0.0000 0.0000 0.0000
Ti1 Ti 0.5000 0.5000 0.5000

***

No. 2
# Ti2Sb2S7 (PBE-GGA, optimized geometry)
# Crystal system: orthorhombic
# Fermi-level density of states, states/eV per cell: 0.10
# E_tot, eV per atom: -5.5167
# SG: Imm2 (44)
data_Ti2Sb2S7
_cell_length_a 3.5412
_cell_length_b 9.0678
_cell_length_c 9.0678
_cell_angle_alpha 80.90
_cell_angle_beta 78.74
_cell_angle_gamma 78.74
_space_group_name_H-M_alt 'P 1'
_space_group_IT_number 1
_space_group_name_Hall 'P 1'
loop_
_atom_site_label
_atom_site_type_symbol
_atom_site_fract_x
_atom_site_fract_y
_atom_site_fract_z
Sb1 Sb 0.2918 0.1790 0.2375
Sb2 Sb 0.7082 0.7625 0.8210
S1 S 0.1050 0.3016 0.4884
S2 S 0.8950 0.5116 0.6984
S3 S 0.1932 0.6288 0.9849
S4 S 0.3910 0.7585 0.4596
S5 S 0.8068 0.0151 0.3712
S6 S 0.6090 0.5404 0.2415
S7 S 0.5000 0.9088 0.0912
Ti1 Ti 0.0000 0.7572 0.2428
Ti2 Ti 0.5000 0.4903 0.5097

***

No. 3
# TiSbS4 (PBE-GGA, optimized geometry)
# Crystal system: monoclinic
# Fermi-level density of states, states/eV per cell: 3.03
# E_tot, eV per atom: -5.4472
# SG: P2/m (10)
data_TiSbS4
_cell_length_a 3.5705
_cell_length_b 6.5725
_cell_length_c 6.3588
_cell_angle_alpha 90.75
_cell_angle_beta 90.00
_cell_angle_gamma 90.00
_space_group_name_H-M_alt 'P 1'
_space_group_IT_number 1
_space_group_name_Hall 'P 1'
loop_
_atom_site_label
_atom_site_type_symbol
_atom_site_fract_x
_atom_site_fract_y
_atom_site_fract_z
S1 S 0.5000 0.7781 0.1869
S2 S 0.0000 0.7882 0.6534
S3 S 0.5000 0.2219 0.8131
S4 S 0.0000 0.2118 0.3466
Ti1 Ti 0.5000 0.0000 0.5000
Sb1 Sb 0.0000 0.0000 0.0000

***

- Which of these has the lowest Fermi-level density of states?
  Ti2Sb2S7